Record 1
Below is an optimized crystal structure of NdSmDyHo, with properties calculated at the PBE level.

The space group is F-43m (No. 216) and the conventional cell measures 8.089, 8.089 and 8.089 Å, with angles of 90.00, 90.00 and 90.00 degrees. The distinct sites, in fractional coordinates, are Nd at (0.000, 0.000, 0.000), Sm at (0.000, 0.000, 0.500), Dy at (0.250, 0.250, 0.750) and Ho at (0.250, 0.250, 0.250).

Its magnetic moment is 0.000 μB per formula unit. The energy above the most stable polymorph in this dataset is 102 meV/atom. The energy of formation from the pure elements is 123 meV per atom. The calculation puts the density of states at the Fermi level at 33.2 states/eV/cell. As for the total energy: -4.544 eV/atom.



Record 2
Below is an optimized crystal structure of NdSmDyHo2, with properties calculated at the PBE level.

The space group is Cmcm (No. 63) and the conventional cell measures 8.418, 11.529 and 7.173 Å, with angles of 90.00, 90.00 and 90.00 degrees. The distinct sites, in fractional coordinates, are Nd at (0.000, 0.229, 0.250), Sm at (0.000, 0.499, 0.250), Dy at (0.000, 0.222, 0.750) and Ho at (0.188, 0.000, 0.000).

Its magnetic moment is 0.001 μB per formula unit. The energy of formation from the pure elements is 384 meV per atom. The calculation puts the density of states at the Fermi level at 32.5 states/eV/cell. As for the total energy: -4.265 eV/atom.



Record 3
Below is an optimized crystal structure of Nd4SmDy2Ho2, with properties calculated at the PBE level.

The space group is C2/m (No. 12) and the conventional cell measures 15.331, 5.097 and 8.063 Å, with angles of 90.00, 108.40 and 90.00 degrees. The distinct sites, in fractional coordinates, are Nd at (0.054, 0.000, 0.332), Nd at (0.223, 0.500, 0.332), Sm at (0.000, 0.500, 0.000), Dy at (0.111, 0.500, 0.669) and Ho at (0.168, 0.000, 0.000).

Its magnetic moment is 0.000 μB per formula unit. The energy of formation from the pure elements is 18 meV per atom. The calculation puts the density of states at the Fermi level at 26.3 states/eV/cell. As for the total energy: -4.665 eV/atom.



Record 4
Below is an optimized crystal structure of NdSm4Dy2Ho, with properties calculated at the PBE level.

The space group is C2/c (No. 15) and the conventional cell measures 13.700, 13.297 and 6.865 Å, with angles of 90.00, 120.06 and 90.00 degrees. The distinct sites, in fractional coordinates, are Nd at (0.250, 0.250, 0.000), Sm at (0.000, 0.249, 0.501), Sm at (0.250, 0.002, 0.489), Dy at (0.000, 0.500, 0.000), Dy at (0.250, 0.250, 0.500) and Ho at (0.000, 0.000, 0.000).

Its magnetic moment is 1.556 μB per formula unit. The energy of formation from the pure elements is 408 meV per atom. The calculation puts the density of states at the Fermi level at 78.6 states/eV/cell. As for the total energy: -4.270 eV/atom.



Q: Which of these has the lowest energy of formation from the pure elements?
A: Nd4SmDy2Ho2



Q: What is the energy of formation from the pure elements in the first record?
A: 123 meV per atom



Q: Look up the energy of formation from the pure elements of the first one.
A: 123 meV per atom



Q: Number 2 is which compound?
A: NdSmDyHo2